Entry 1
First-principles (PBE) data for GePPtO after structural relaxation, as listed in the Open Quantum Materials Database.

Properties
crystal system = tetragonal
ρ = 8.0 g/cm³
V = 16.26 A^3/atom

Cell: 4.1708 4.1708 7.4773 Å, 90.00 90.00 90.00°
Sites, in units of the cell vectors:
Ge 0.2500 0.7500 0.0000
Ge 0.7500 0.2500 0.0000
P 0.2500 0.2500 0.1798
P 0.7500 0.7500 0.8202
Pt 0.2500 0.2500 0.5669
Pt 0.7500 0.7500 0.4331
O 0.2500 0.7500 0.5000
O 0.7500 0.2500 0.5000

Entry 2
First-principles (PBE) data for GePPtO after structural relaxation, as listed in the Open Quantum Materials Database.

Properties
crystal system = orthorhombic
ρ = 7.7 g/cm³
V = 17.07 A^3/atom

Cell: 3.7993 8.1265 4.4231 Å, 90.00 90.00 90.00°
Sites, in units of the cell vectors:
Ge 0.0000 0.1369 0.0000
Ge 0.0000 0.8631 0.5000
P 0.5000 0.3050 0.9209
P 0.5000 0.6950 0.4209
Pt 0.5000 0.4023 0.4252
Pt 0.5000 0.5977 0.9252
O 0.0000 0.0791 0.3981
O 0.0000 0.9209 0.8981

Entry 3
First-principles (PBE) data for GePPtO after structural relaxation, as listed in the Open Quantum Materials Database.

Properties
crystal system = tetragonal
ρ = 7.7 g/cm³
V = 17.02 A^3/atom

Cell: 3.8769 3.8769 9.0568 Å, 90.00 90.00 90.00°
Sites, in units of the cell vectors:
Ge 0.2500 0.2500 0.1051
Ge 0.7500 0.7500 0.8949
P 0.2500 0.2500 0.6552
P 0.7500 0.7500 0.3448
Pt 0.2500 0.7500 0.5000
Pt 0.7500 0.2500 0.5000
O 0.2500 0.7500 0.0000
O 0.7500 0.2500 0.0000

Entry 4
First-principles (PBE) data for GePPtO after structural relaxation, as listed in the Open Quantum Materials Database.

Properties
crystal system = orthorhombic
ρ = 7.6 g/cm³
V = 17.14 A^3/atom

Cell: 3.3221 6.5258 6.3264 Å, 90.00 90.00 90.00°
Sites, in units of the cell vectors:
Ge 0.0000 0.1806 0.0000
Ge 0.0000 0.8194 0.5000
P 0.0000 0.1632 0.3825
P 0.0000 0.8368 0.8825
Pt 0.5000 0.2731 0.5814
Pt 0.5000 0.7269 0.0814
O 0.5000 0.3186 0.9432
O 0.5000 0.6814 0.4432

The energetic minimum among the shown structures is entry 2; the next structure lies 0.053 eV/atom above.